[1]
Below is a PBEsol-optimized structure of Zn2NiPb, with properties calculated at the meta-GGA SCAN level.

a = 4.129 Å, b = 3.977 Å, c = 3.977 Å
α = 96.91°, β = 90.00°, γ = 90.00°
Fractional coordinates of all 4 atoms:
Zn (0.000, 0.000, 0.500)
Zn (0.000, 0.500, 0.000)
Pb (0.500, 0.500, 0.500)
Ni (0.500, 0.000, 0.000)

## Properties
Calculated formation energy ... 105 kJ/mol of formula units
DOS(E_F) ... 1.52 states/eV per cell
Crystal system ... orthorhombic
Uncorrected energy ... -29.4743 eV/atom
SG ... Cmmm



[2]
Below is a PBEsol-optimized structure of Na2BiAu, with properties calculated at the meta-GGA SCAN level.

a = 5.823 Å, b = 6.059 Å, c = 6.059 Å
α = 77.41°, β = 90.00°, γ = 90.00°
Fractional coordinates of all 8 atoms:
Na (0.750, 0.642, 0.998)
Na (0.250, 0.358, 0.002)
Na (0.750, 0.002, 0.358)
Na (0.250, 0.998, 0.642)
Au (0.500, 0.500, 0.500)
Au (0.000, 0.500, 0.500)
Bi (0.750, 0.189, 0.811)
Bi (0.250, 0.811, 0.189)

## Properties
Calculated formation energy ... -173 kJ/mol of formula units
DOS(E_F) ... 0.01 states/eV per cell
Crystal system ... orthorhombic
Uncorrected energy ... -39.4905 eV/atom
SG ... Cmcm



[3]
Below is a PBEsol-optimized structure of BaBeSbI2, with properties calculated at the meta-GGA SCAN level.

a = 6.542 Å, b = 6.542 Å, c = 6.967 Å
α = 90.00°, β = 90.00°, γ = 90.00°
Site moments in Bohr magnetons follow the coordinates.
Fractional coordinates of all 5 atoms:
I (0.000, 0.500, 0.000)  0.04
I (0.500, 0.000, 0.000)  0.04
Sb (0.000, 0.000, 0.500)  0.93
Be (0.500, 0.500, 0.500)  -0.04
Ba (0.000, 0.000, 0.000)  0.04

## Properties
DOS(E_F) ... 3.67 states/eV per cell
Formation energy from raw total energies ... 0.30 eV per atom
Crystal system ... tetragonal
Uncorrected energy ... -30.6251 eV/atom
SG ... P4/mmm



[4]
Below is a PBEsol-optimized structure of RbGa2Ag2, with properties calculated at the meta-GGA SCAN level.

a = 4.782 Å, b = 4.782 Å, c = 6.073 Å
α = 113.19°, β = 113.19°, γ = 90.00°
Fractional coordinates of all 5 atoms:
Ga (0.637, 0.637, 0.275)
Ga (0.363, 0.363, 0.725)
Ag (0.750, 0.250, 0.500)
Ag (0.250, 0.750, 0.500)
Rb (0.000, 0.000, 0.000)

## Properties
Calculated formation energy ... -10 kJ/mol of formula units
DOS(E_F) ... 1.56 states/eV per cell
Crystal system ... tetragonal
Uncorrected energy ... -23.2542 eV/atom
SG ... I4/mmm



[5]
Below is a PBEsol-optimized structure of Zr2AsPt2, with properties calculated at the meta-GGA SCAN level.

a = 4.568 Å, b = 4.568 Å, c = 6.046 Å
α = 112.20°, β = 112.20°, γ = 90.00°
Fractional coordinates of all 5 atoms:
Zr (0.750, 0.250, 0.500)
Zr (0.250, 0.750, 0.500)
Pt (0.377, 0.377, 0.755)
Pt (0.623, 0.623, 0.245)
As (0.000, 0.000, 0.000)

## Properties
Calculated formation energy ... -339 kJ/mol of formula units
DOS(E_F) ... 2.06 states/eV per cell
Crystal system ... tetragonal
Uncorrected energy ... -45.0975 eV/atom
SG ... I4/mmm



[6]
Below is a PBEsol-optimized structure of Cd2RhAu, with properties calculated at the meta-GGA SCAN level.

a = 4.065 Å, b = 4.065 Å, c = 5.003 Å
α = 113.97°, β = 113.97°, γ = 90.00°
Fractional coordinates of all 4 atoms:
Cd (0.000, 0.000, 0.000)
Cd (0.750, 0.250, 0.500)
Au (0.250, 0.750, 0.500)
Rh (0.500, 0.500, 0.000)

## Properties
Calculated formation energy ... -53 kJ/mol of formula units
DOS(E_F) ... 1.50 states/eV per cell
Crystal system ... tetragonal
Uncorrected energy ... -41.0761 eV/atom
SG ... I-4m2



[7]
Below is a PBEsol-optimized structure of LiRuPb2, with properties calculated at the meta-GGA SCAN level.

a = 3.156 Å, b = 4.412 Å, c = 6.704 Å
α = 109.21°, β = 103.61°, γ = 90.00°
Fractional coordinates of all 4 atoms:
Pb (0.018, 0.018, 0.037)
Pb (0.801, 0.301, 0.601)
Ru (0.497, 0.497, 0.994)
Li (0.184, 0.684, 0.368)

## Properties
Calculated formation energy ... 57 kJ/mol of formula units
DOS(E_F) ... 2.11 states/eV per cell
Crystal system ... orthorhombic
Uncorrected energy ... -47.0463 eV/atom
SG ... Imm2



[8]
Below is a PBEsol-optimized structure of Hf2BrN, with properties calculated at the meta-GGA SCAN level.

a = 5.455 Å, b = 5.455 Å, c = 6.611 Å
α = 114.37°, β = 114.37°, γ = 90.00°
Fractional coordinates of all 8 atoms:
Br (0.250, 0.750, 0.500)
Br (0.000, 0.000, 0.000)
Hf (0.476, 0.875, 0.250)
Hf (0.774, 0.375, 0.250)
Hf (0.625, 0.524, 0.750)
Hf (0.125, 0.226, 0.750)
N (0.500, 0.500, 0.000)
N (0.750, 0.250, 0.500)

## Properties
DOS(E_F) ... 3.33 states/eV per cell
Formation energy from raw total energies ... -0.69 eV per atom
Crystal system ... tetragonal
Energy above the most stable polymorph in this dataset ... 0 meV per atom
Uncorrected energy ... -39.2135 eV/atom
SG ... I-42d



[9]
Below is a PBEsol-optimized structure of LaIn2Br, with properties calculated at the meta-GGA SCAN level.

a = 5.271 Å, b = 5.271 Å, c = 5.271 Å
α = 60.00°, β = 60.00°, γ = 60.00°
Fractional coordinates of all 4 atoms:
Br (0.500, 0.500, 0.500)
La (0.250, 0.250, 0.250)
In (0.750, 0.750, 0.750)
In (0.000, 0.000, 0.000)

## Properties
DOS(E_F) ... 0.51 states/eV per cell
Formation energy from raw total energies ... -0.74 eV per atom
Crystal system ... cubic
Energy above the most stable polymorph in this dataset ... 0 meV per atom
Uncorrected energy ... -33.0766 eV/atom
SG ... F-43m



[10]
Below is a PBEsol-optimized structure of KTe2Os, with properties calculated at the meta-GGA SCAN level.

a = 4.266 Å, b = 4.266 Å, c = 5.783 Å
α = 111.65°, β = 111.65°, γ = 90.00°
Fractional coordinates of all 4 atoms:
Te (0.750, 0.250, 0.500)
Te (0.000, 0.000, 0.000)
Os (0.250, 0.750, 0.500)
K (0.500, 0.500, 0.000)

## Properties
DOS(E_F) ... 3.20 states/eV per cell
Formation energy from raw total energies ... 0.90 eV per atom
Crystal system ... tetragonal
Energy above the most stable polymorph in this dataset ... 0 meV per atom
Uncorrected energy ... -37.7756 eV/atom
SG ... I-4m2



[11]
Below is a PBEsol-optimized structure of KZrFe2Bi, with properties calculated at the meta-GGA SCAN level.

a = 4.904 Å, b = 4.904 Å, c = 5.630 Å
α = 90.00°, β = 90.00°, γ = 90.00°
Site moments in Bohr magnetons follow the coordinates.
Fractional coordinates of all 5 atoms:
Fe (0.500, 0.000, 0.000)  3.06
Fe (0.000, 0.500, 0.000)  3.06
Zr (0.000, 0.000, 0.000)  -0.57
Bi (0.000, 0.000, 0.500)  0.14
K (0.500, 0.500, 0.500)  0.01

## Properties
Calculated formation energy ... 415 kJ/mol of formula units
DOS(E_F) ... 3.09 states/eV per cell
Crystal system ... tetragonal
Uncorrected energy ... -29.9126 eV/atom
SG ... P4/mmm



[12]
Below is a PBEsol-optimized structure of RuAu5, with properties calculated at the meta-GGA SCAN level.

a = 2.769 Å, b = 5.558 Å, c = 6.847 Å
α = 105.66°, β = 90.00°, γ = 104.42°
Fractional coordinates of all 6 atoms:
Au (0.386, 0.771, 0.271)
Au (0.330, 0.659, 0.673)
Au (0.666, 0.332, 0.331)
Au (0.057, 0.114, 0.616)
Au (0.005, 0.011, 0.997)
Ru (0.723, 0.446, 0.945)

## Properties
Calculated formation energy ... 132 kJ/mol of formula units
DOS(E_F) ... 2.94 states/eV per cell
Crystal system ... monoclinic
Uncorrected energy ... -63.2065 eV/atom
SG ... Cm



[13]
Below is a PBEsol-optimized structure of Cr4FeCuSe4S4, with properties calculated at the meta-GGA SCAN level.

a = 7.051 Å, b = 7.051 Å, c = 7.051 Å
α = 60.00°, β = 60.00°, γ = 60.00°
Site moments in Bohr magnetons follow the coordinates.
Fractional coordinates of all 14 atoms:
Cr (0.883, 0.350, 0.883)  3.00
Cr (0.883, 0.883, 0.350)  3.00
Cr (0.883, 0.883, 0.883)  3.00
Cr (0.350, 0.883, 0.883)  3.00
S (0.645, 0.118, 0.118)  -0.06
S (0.118, 0.118, 0.645)  -0.06
S (0.118, 0.645, 0.118)  -0.06
S (0.118, 0.118, 0.118)  -0.06
Se (0.103, 0.632, 0.632)  -0.02
Se (0.632, 0.103, 0.632)  -0.02
Se (0.632, 0.632, 0.632)  -0.02
Se (0.632, 0.632, 0.103)  -0.02
Cu (0.250, 0.250, 0.250)  -0.05
Fe (0.500, 0.500, 0.500)  3.34

## Properties
DOS(E_F) ... 7.35 states/eV per cell
Formation energy from raw total energies ... -0.81 eV per atom
Crystal system ... cubic
Uncorrected energy ... -16.9277 eV/atom
SG ... F-43m



no.,spin magnetization (μB per cell)
1,0.0
2,0.0
3,2.5
4,0.0
5,0.0
6,0.0
7,0.0
8,0.0
9,0.0
10,0.0
11,5.9
12,0.0
13,15.9